Compound: Mn2ClOF2
Source: Alexandria
Functional: GGA+U
Structure: relaxed

Values from the calculation:
Calculated density: 3.76 g cm⁻³
DFT total energy: -6.158 eV per atom
Space group: Pmc2_1, No. 26
Magnetization: 1.500 μB/atom

Cell: 3.3123 6.6218 8.0204 Å, 90.00 90.00 90.00°
With the nearest neighbours (Å) after each atom.
Fractional positions:
1 Cl 0.0000 0.8376 0.5505  3 Mn 2.47-2.69
2 Cl 0.0000 0.3376 0.4495  3 Mn 2.47-2.69
3 F 0.0000 0.3429 0.0568  3 Mn 2.12-2.19
4 F 0.5000 0.5406 0.7881  3 Mn 2.09-2.20
5 F 0.0000 0.8429 0.9432  3 Mn 2.12-2.19
6 F 0.5000 0.0406 0.2119  3 Mn 2.09-2.20
7 O 0.5000 0.1472 0.7844  3 Mn 1.93-2.02
8 O 0.5000 0.6472 0.2156  3 Mn 1.93-2.02
9 Mn 0.5000 0.3561 0.2210  1 O 1.93, 3 F 2.09-2.12
10 Mn 0.5000 0.8561 0.7790  1 O 1.93, 3 F 2.09-2.12
11 Mn 0.0000 0.3212 0.7841  2 O 2.02, 3 F 2.19-2.20
12 Mn 0.0000 0.8212 0.2159  2 O 2.02, 3 F 2.19-2.20